Compound: GaCuHg2Se4
Source: Alexandria
Functional: GGA-PBE
Structure: optimized geometry

The value obtained for the uncorrected formation energy is -0.3464 eV per atom. For the energy, the calculation gives -24.44 eV/cell.

The space group is P1 (No. 1) and the conventional cell measures 6.006, 6.007 and 7.242 Å, with angles of 114.49, 114.49 and 90.00 degrees. The distinct sites, in fractional coordinates, are Ga at (0.000, 0.000, 0.000), Cu at (0.251, 0.749, 0.500), Hg at (0.500, 0.501, 0.000), Hg at (0.751, 0.250, 0.501), Se at (0.125, 0.662, 0.746), Se at (0.339, 0.379, 0.254), Se at (0.621, 0.084, 0.746) and Se at (0.916, 0.875, 0.254).